[1]
Rb2SiWCl6 | PBE | relaxed

Output
Uncorrected formation energy, eV per atom: -0.844
Calculated volume, Å³/atom: 28.5

Cell and atoms, written as CIF:
```
data_Rb2SiWCl6
_chemical_formula_sum 'Rb2 Si1 W1 Cl6'
_space_group_name_H-M_alt 'P 1'
_space_group_IT_number 1
_cell_length_a 7.917
_cell_length_b 7.917
_cell_length_c 7.212
_cell_angle_alpha 56.71
_cell_angle_beta 56.71
_cell_angle_gamma 90.00
loop_
_space_group_symop_operation_xyz
'x,y,z'
loop_
_atom_site_label
_atom_site_type_symbol
_atom_site_fract_x
_atom_site_fract_y
_atom_site_fract_z
_atom_site_occupancy
Si1 Si 0.500 0.500 0.000 1
Rb1 Rb 0.750 0.250 0.500 1
Rb2 Rb 0.250 0.750 0.500 1
W1 W 0.000 0.000 0.000 1
Cl1 Cl 0.254 0.254 0.492 1
Cl2 Cl 0.746 0.746 0.508 1
Cl3 Cl 0.221 0.221 0.000 1
Cl4 Cl 0.779 0.779 0.000 1
Cl5 Cl 0.779 0.221 0.000 1
Cl6 Cl 0.221 0.779 0.000 1
```


[2]
LaErNi | PBE | relaxed

Output
E_form, eV per atom: -0.12
Calculated volume, Å³/atom: 26.8

Cell and atoms, written as CIF:
```
data_LaErNi
_chemical_formula_sum 'La1 Er1 Ni1'
_space_group_name_H-M_alt 'P 1'
_space_group_IT_number 1
_cell_length_a 4.845
_cell_length_b 4.845
_cell_length_c 4.845
_cell_angle_alpha 60.00
_cell_angle_beta 60.00
_cell_angle_gamma 60.00
loop_
_space_group_symop_operation_xyz
'x,y,z'
loop_
_atom_site_label
_atom_site_type_symbol
_atom_site_fract_x
_atom_site_fract_y
_atom_site_fract_z
_atom_site_occupancy
Ni1 Ni 0.250 0.250 0.250 1
La1 La 0.000 0.000 0.000 1
Er1 Er 0.500 0.500 0.500 1
```


[3]
FeP2Pb | PBE | relaxed

Output
E_form, eV per atom: 0.61
Calculated volume, Å³/atom: 19.0

Cell and atoms, written as CIF:
```
data_FeP2Pb
_chemical_formula_sum 'Fe1 P2 Pb1'
_space_group_name_H-M_alt 'P 1'
_space_group_IT_number 1
_cell_length_a 4.654
_cell_length_b 4.654
_cell_length_c 4.064
_cell_angle_alpha 75.89
_cell_angle_beta 75.89
_cell_angle_gamma 108.13
loop_
_space_group_symop_operation_xyz
'x,y,z'
loop_
_atom_site_label
_atom_site_type_symbol
_atom_site_fract_x
_atom_site_fract_y
_atom_site_fract_z
_atom_site_occupancy
Fe1 Fe 0.000 0.500 0.500 1
P1 P 0.000 0.000 0.000 1
P2 P 0.500 0.500 0.000 1
Pb1 Pb 0.500 0.000 0.500 1
```